# Ni2IrPbO6

A relaxed Ni2IrPbO6 crystal (GGA+U, Alexandria).

Results
space group	R3, No. 146
DFT total energy	-56.23	eV for the cell shown
density of states at the Fermi level	0.363	states/eV/atom

Cell lengths 5.667, 5.667, 5.667 Å; angles 56.20, 56.20, 56.20 degrees
Fractional positions:
Ni (0.000, 0.000, 0.000)
Ni (0.487, 0.487, 0.487)
Ir (0.797, 0.797, 0.797)
Pb (0.278, 0.278, 0.278)
O (0.071, 0.407, 0.717)
O (0.190, 0.850, 0.627)
O (0.407, 0.717, 0.071)
O (0.627, 0.190, 0.850)
O (0.717, 0.071, 0.407)
O (0.850, 0.627, 0.190)